Material: KRuSe2N
Method: DFT, PBE
State: optimized geometry

Unit cell a=5.6910 b=5.6910 c=4.7155 alpha=90.00 beta=90.00 gamma=90.00
Last column: nearest neighbours and their distance in Å.
Atoms (fractional coordinates):
K: 0.0000 0.0000 0.0000  2 N 2.36
Ru: 0.5000 0.5000 0.5000  8 Se 3.70, 4 N 4.02
Se: 0.0000 0.5000 0.0000  2 K 2.85
Se: 0.5000 0.0000 0.0000  2 K 2.85
N: 0.0000 0.0000 0.5000  2 K 2.36

Properties
excess energy over the best structure of this formula in the dataset	2.185	eV per atom
raw total energy	-2.9229	eV per atom
Fermi-level density of states	6.78	states/eV per cell
formation energy without anion corrections	2211	meV per atom
crystal system	tetragonal